DFT (PBE-GGA) results for Sc2Hg2Te after structural relaxation.

Summary:
ΔE_f (raw)   -0.4938 eV/atom
Space-group type   P4/mbm (127)
E above lowest polymorph   0 meV per atom

a b c (Å): 7.5491 7.5491 4.3451
angles (deg): 90.00 90.00 90.00
Last column: nearest neighbours and their distance in Å.
Atoms (fractional coordinates):
Sc (0.1594, 0.3406, 0.0000)  2 Te 2.84, 6 Hg 3.04-3.15
Sc (0.3406, 0.8406, 0.0000)  2 Te 2.84, 6 Hg 3.04-3.15
Sc (0.6594, 0.1594, 0.0000)  2 Te 2.84, 6 Hg 3.04-3.15
Sc (0.8406, 0.6594, 0.0000)  2 Te 2.84, 6 Hg 3.04-3.15
Hg (0.1420, 0.6420, 0.5000)  1 Hg 3.03, 6 Sc 3.04-3.15
Hg (0.3580, 0.1420, 0.5000)  1 Hg 3.03, 6 Sc 3.04-3.15
Hg (0.6420, 0.8580, 0.5000)  1 Hg 3.03, 6 Sc 3.04-3.15
Hg (0.8580, 0.3580, 0.5000)  1 Hg 3.03, 6 Sc 3.04-3.15
Te (0.0000, 0.0000, 0.0000)  4 Sc 2.84
Te (0.5000, 0.5000, 0.0000)  4 Sc 2.84

DFT (PBE-GGA) results for LiP3 after structural relaxation.

Summary:
Formation energy   0.18 eV/atom
Space-group type   Pmmm (47)
E above lowest polymorph   208 meV per atom

a b c (Å): 3.2783 3.7727 5.2182
angles (deg): 90.00 90.00 90.00
Last column: nearest neighbours and their distance in Å.
Atoms (fractional coordinates):
Li (0.0000, 0.0000, 0.0000)  2 P 2.61
P (0.0000, 0.0000, 0.5000)  2 Li 2.61, 8 P 2.71
P (0.5000, 0.5000, 0.2977)  1 P 2.11
P (0.5000, 0.5000, 0.7023)  1 P 2.11

DFT (PBE-GGA) results for Ba2MgSn3Pt4 after structural relaxation.

Summary:
Formation energy   -0.79 eV/atom
Space-group type   P-4m2 (115)

a b c (Å): 4.7480 4.7480 10.8920
angles (deg): 90.00 90.00 90.00
Last column: nearest neighbours and their distance in Å.
Atoms (fractional coordinates):
Ba (0.0000, 0.5000, 0.2460)  8 Pt 3.58-3.63, 7 Sn 3.62-4.00, 2 Mg 3.65
Ba (0.5000, 0.0000, 0.7540)  8 Pt 3.58-3.63, 7 Sn 3.62-4.00, 2 Mg 3.65
Mg (0.0000, 0.0000, 0.5000)  4 Pt 2.75
Sn (0.0000, 0.5000, 0.8787)  5 Pt 2.72-2.74
Sn (0.5000, 0.0000, 0.1213)  5 Pt 2.72-2.74
Sn (0.5000, 0.5000, 0.5000)  4 Pt 2.75
Pt (0.0000, 0.0000, 0.0000)  4 Sn 2.72
Pt (0.0000, 0.5000, 0.6268)  3 Sn 2.74-2.75, 2 Mg 2.75
Pt (0.5000, 0.0000, 0.3732)  3 Sn 2.74-2.75, 2 Mg 2.75
Pt (0.5000, 0.5000, 0.0000)  4 Sn 2.72

DFT (PBE-GGA) results for BaAgO2 after structural relaxation.

Summary:
ΔE_f (raw)   -0.3043 eV/atom
Space-group type   R-3m (166)

a b c (Å): 6.9716 6.9716 6.9716
angles (deg): 30.61 30.61 30.61
Last column: nearest neighbours and their distance in Å.
Atoms (fractional coordinates):
Ba (0.0000, 0.0000, 0.0000)  2 O 2.39
Ag (0.5000, 0.5000, 0.5000)  6 O 2.32
O (0.1200, 0.1200, 0.1200)  3 Ag 2.32, 1 Ba 2.39
O (0.8800, 0.8800, 0.8800)  3 Ag 2.32, 1 Ba 2.39

DFT (PBE-GGA) results for Pu2MnH8 after structural relaxation.

Summary:
Space-group type   Immm (71)

a b c (Å): 6.1773 6.1773 6.1773
angles (deg): 145.10 135.33 57.91
Last column: nearest neighbours and their distance in Å.
Atoms (fractional coordinates):
Pu (0.1711, 0.1711, 0.0000)  12 H 2.23-2.38
Pu (0.8289, 0.8289, 0.0000)  12 H 2.23-2.38
Mn (0.5000, 0.5000, 0.0000)  4 H 1.84
H (0.1284, 0.3644, 0.7640)  1 Mn 1.84
H (0.2661, 0.0000, 0.2661)  2 Mn 2.15, 5 H 2.20-2.36, 2 Pu 2.23
H (0.2940, 0.7940, 0.5000)  6 H 2.11-2.29, 2 Pu 2.28
H (0.3996, 0.6356, 0.7640)  1 Mn 1.84
H (0.6004, 0.3644, 0.2360)  1 Mn 1.84
H (0.7060, 0.2060, 0.5000)  6 H 2.11-2.29, 2 Pu 2.28
H (0.7339, 0.0000, 0.7339)  2 Mn 2.15, 5 H 2.20-2.36, 2 Pu 2.23
H (0.8716, 0.6356, 0.2360)  1 Mn 1.84

DFT (PBE-GGA) results for KCa3Pt8 after structural relaxation.

Summary:
Formation energy   -0.78 eV/atom
Space-group type   R3m (160)

a b c (Å): 9.4556 9.4556 9.4556
angles (deg): 33.69 33.69 33.69
Last column: nearest neighbours and their distance in Å.
Atoms (fractional coordinates):
K (0.0000, 0.0000, 0.0000)  12 Pt 3.21-3.25, 4 Ca 3.29-3.33
Ca (0.1230, 0.1230, 0.1230)  12 Pt 3.15-3.23, 1 K 3.29, 3 Ca 3.39
Ca (0.5014, 0.5014, 0.5014)  12 Pt 3.17-3.22, 4 Ca 3.39
Ca (0.6282, 0.6282, 0.6282)  12 Pt 3.20-3.27, 3 K 3.33, 1 Ca 3.39
Pt (0.0627, 0.0627, 0.5586)  6 Pt 2.70-2.76
Pt (0.0627, 0.5586, 0.0627)  6 Pt 2.70-2.76
Pt (0.0676, 0.5639, 0.5639)  6 Pt 2.70-2.77
Pt (0.3131, 0.3131, 0.3131)  6 Pt 2.76-2.77
Pt (0.5586, 0.0627, 0.0627)  6 Pt 2.70-2.76
Pt (0.5639, 0.0676, 0.5639)  6 Pt 2.70-2.77
Pt (0.5639, 0.5639, 0.0676)  6 Pt 2.70-2.77
Pt (0.8133, 0.8133, 0.8133)  6 Pt 2.70

DFT (PBE-GGA) results for NpIn4 after structural relaxation.

Summary:
Formation energy   0.97 eV/atom
Space-group type   Pm-3m (221)

a b c (Å): 5.9539 5.9539 5.9539
angles (deg): 90.00 90.00 90.00
Last column: nearest neighbours and their distance in Å.
Atoms (fractional coordinates):
Np (0.0000, 0.0000, 0.0000)  6 In 2.98
In (0.0000, 0.0000, 0.5000)  2 Np 2.98
In (0.0000, 0.5000, 0.0000)  2 Np 2.98
In (0.5000, 0.0000, 0.0000)  2 Np 2.98
In (0.5000, 0.5000, 0.5000)  12 In 4.21

DFT (PBE-GGA) results for Ce4PrPb4 after structural relaxation.

Summary:
Formation energy   -0.21 eV/atom
Space-group type   P4_2/n (86)

a b c (Å): 9.3130 9.3130 6.4299
angles (deg): 90.00 90.00 90.00
Last column: nearest neighbours and their distance in Å.
Atoms (fractional coordinates):
Ce (0.0843, 0.8199, 0.1144)  1 Pr 3.30, 6 Pb 3.30-3.68, 1 Ce 3.35
Ce (0.1801, 0.5843, 0.6144)  1 Pr 3.30, 6 Pb 3.30-3.68, 1 Ce 3.35
Ce (0.3199, 0.9157, 0.6144)  1 Pr 3.30, 6 Pb 3.30-3.68, 1 Ce 3.35
Ce (0.4157, 0.6801, 0.1144)  1 Pr 3.30, 6 Pb 3.30-3.68, 1 Ce 3.35
Ce (0.5843, 0.3199, 0.8856)  1 Pr 3.30, 6 Pb 3.30-3.68, 1 Ce 3.35
Ce (0.6801, 0.0843, 0.3856)  1 Pr 3.30, 6 Pb 3.30-3.68, 1 Ce 3.35
Ce (0.8199, 0.4157, 0.3856)  1 Pr 3.30, 6 Pb 3.30-3.68, 1 Ce 3.35
Ce (0.9157, 0.1801, 0.8856)  1 Pr 3.30, 6 Pb 3.30-3.68, 1 Ce 3.35
Pr (0.2500, 0.2500, 0.7500)  4 Pb 3.28, 4 Ce 3.30
Pr (0.7500, 0.7500, 0.2500)  4 Pb 3.28, 4 Ce 3.30
Pb (0.0412, 0.1391, 0.3711)  3 Pb 3.17-3.48, 1 Pr 3.28, 5 Ce 3.30-3.53
Pb (0.1391, 0.4588, 0.1289)  3 Pb 3.17-3.48, 1 Pr 3.28, 5 Ce 3.30-3.53
Pb (0.3609, 0.0412, 0.1289)  3 Pb 3.17-3.48, 1 Pr 3.28, 5 Ce 3.30-3.53
Pb (0.4588, 0.3609, 0.3711)  3 Pb 3.17-3.48, 1 Pr 3.28, 5 Ce 3.30-3.53
Pb (0.5412, 0.6391, 0.6289)  3 Pb 3.17-3.48, 1 Pr 3.28, 5 Ce 3.30-3.53
Pb (0.6391, 0.9588, 0.8711)  3 Pb 3.17-3.48, 1 Pr 3.28, 5 Ce 3.30-3.53
Pb (0.8609, 0.5412, 0.8711)  3 Pb 3.17-3.48, 1 Pr 3.28, 5 Ce 3.30-3.53
Pb (0.9588, 0.8609, 0.6289)  3 Pb 3.17-3.48, 1 Pr 3.28, 5 Ce 3.30-3.53

Calculated VASP energy, -3.775 -4.354 -4.955 -3.977 -6.104 -5.399 -3.812 -5.023 eV per atom (same order as the records).
Calculated N(E_F), 9.94 1.05 5.56 2.50 14.28 6.66 17.41 51.85 states/eV per cell (same order as the records).